(1)
Ce2Cu3Ag: relaxed, PBE-GGA.

For the calculated formation energy, the calculation gives -0.41 eV/f.u. The total energy is -4.570 eV per atom. The calculation puts the total magnetization at 0.31 μB per atom. The crystal system is orthorhombic.

It has space group Imm2 (No. 44), with a = 3.929 Å, b = 3.978 Å, c = 16.236 Å, α = 90.00°, β = 90.00° and γ = 90.00°. Symmetry generates all atoms from Ce at (0.000, 0.000, 0.000), Ce at (0.000, 0.500, 0.268), Cu at (0.000, 0.000, 0.428), Cu at (0.000, 0.500, 0.691), Cu at (0.000, 0.500, 0.842) and Ag at (0.000, 0.000, 0.592).



(2)
CaDyGaRh: relaxed, PBE-GGA.

As for the energy above the lowest structure with this stoichiometry: 0.0 kJ/mol of atoms. For the calculated formation energy, the calculation gives -2.50 eV/f.u. The total energy is -4.870 eV per atom. The calculation puts the total magnetization at 0.00 μB per atom. The crystal system is orthorhombic.

It has space group Amm2 (No. 38), with a = 4.048 Å, b = 4.066 Å, c = 11.359 Å, α = 90.00°, β = 90.00° and γ = 90.00°. Symmetry generates all atoms from Ca at (0.000, 0.000, 0.000), Dy at (0.500, 0.000, 0.289), Ga at (0.500, 0.000, 0.588) and Rh at (0.000, 0.000, 0.728).



(3)
Pr4HgPd: relaxed, PBE-GGA.

As for the energy above the lowest structure with this stoichiometry: 0.0 kJ/mol of atoms. For the calculated formation energy, the calculation gives -2.57 eV/f.u. The total energy is -4.531 eV per atom. The calculation puts the total magnetization at 0.00 μB per atom. The crystal system is cubic.

It has space group F-43m (No. 216), with a = 14.230 Å, b = 14.230 Å, c = 14.230 Å, α = 90.00°, β = 90.00° and γ = 90.00°. Symmetry generates all atoms from Pr at (0.000, 0.000, 0.186), Pr at (0.057, 0.250, 0.750), Pr at (0.104, 0.104, 0.396), Hg at (0.165, 0.165, 0.165) and Pd at (0.106, 0.106, 0.606).



(4)
VCo5B2: relaxed, PBE-GGA.

For the calculated formation energy, the calculation gives -0.62 eV/f.u. The total energy is -7.327 eV per atom. The calculation puts the total magnetization at 0.31 μB per atom. The crystal system is orthorhombic.

It has space group Immm (No. 71), with a = 3.271 Å, b = 6.039 Å, c = 7.981 Å, α = 90.00°, β = 90.00° and γ = 90.00°. Symmetry generates all atoms from V at (0.000, 0.000, 0.000), Co at (0.000, 0.198, 0.352), Co at (0.000, 0.500, 0.000) and B at (0.000, 0.500, 0.255).



(5)
Na2IrBr6: relaxed, PBE-GGA.

As for the energy above the lowest structure with this stoichiometry: 5.1 kJ/mol of atoms. The calculation puts the raw formation energy at -0.738 eV per atom. The total energy is -3.131 eV per atom. The calculation puts the total magnetization at 0.12 μB per atom. The crystal system is tetragonal.

It has space group P4_2/mnm (No. 136), with a = 6.641 Å, b = 6.641 Å, c = 12.688 Å, α = 90.00°, β = 90.00° and γ = 90.00°. Symmetry generates all atoms from Na at (0.000, 0.000, 0.168), Ir at (0.000, 0.000, 0.500), Br at (0.184, 0.184, 0.357) and Br at (0.235, 0.235, 0.000).



(6)
MoPb: relaxed, PBE-GGA.

As for the energy above the lowest structure with this stoichiometry: 12.6 kJ/mol of atoms. For the calculated formation energy, the calculation gives 0.91 eV/f.u. The total energy is -6.814 eV per atom. The calculation puts the total magnetization at 0.00 μB per atom. The crystal system is trigonal.

It has space group P-3m1 (No. 164), with a = 3.2459 Å, b = 3.2459 Å, c = 10.1920 Å, α = 90.00°, β = 90.00° and γ = 120.00°. Symmetry generates all atoms from Mo at (0.3333, 0.6667, 0.0821) and Pb at (0.3333, 0.6667, 0.6638).



no.,theoretical density (g/cm3)
1,7.57
2,6.67
3,8.03
4,7.74
5,4.26
6,10.83